Na2SrYPt | GGA-PBE | optimized geometry

Lattice parameters (Å, degrees): 6.012 6.012 5.138 90.00 90.00 90.00
Fractional positions:
Y: 0.000 0.000 0.000
Sr: 0.500 0.500 0.500
Pt: 0.000 0.000 0.500
Na: 0.000 0.500 0.000
Na: 0.500 0.000 0.000

Results
formation energy	273.6	meV per atom
energy	-3.09	eV/atom
space group	P4/mmm (123)

NaSr2ZnPt | GGA-PBE | optimized geometry

Lattice parameters (Å, degrees): 5.895 5.895 5.021 90.00 90.00 90.00
Fractional positions:
Sr: 0.000 0.500 0.000
Sr: 0.500 0.000 0.000
Zn: 0.000 0.000 0.500
Pt: 0.000 0.000 0.000
Na: 0.500 0.500 0.500

Results
formation energy	-368.8	meV per atom
energy	-2.77	eV/atom
space group	P4/mmm (123)

NaSrZn2Pt | GGA-PBE | optimized geometry

Lattice parameters (Å, degrees): 4.942 4.942 5.261 90.00 90.00 90.00
Fractional positions:
Sr: 0.500 0.500 0.500
Zn: 0.000 0.500 0.000
Zn: 0.500 0.000 0.000
Pt: 0.000 0.000 0.000
Na: 0.000 0.000 0.500

Results
formation energy	-240.8	meV per atom
polymorph energy (0 for the lowest one)	5	meV per atom
energy	-2.56	eV/atom
space group	P4/mmm (123)

NaSrZn2Pt | GGA-PBE | optimized geometry

Lattice parameters (Å, degrees): 5.028 5.028 5.626 90.00 90.00 90.00
Fractional positions:
Sr: 0.000 0.000 0.500
Zn: 0.000 0.500 0.000
Zn: 0.500 0.000 0.000
Pt: 0.000 0.000 0.000
Na: 0.500 0.500 0.500

Results
formation energy	-246.1	meV per atom
polymorph energy (0 for the lowest one)	0	meV per atom
energy	-2.56	eV/atom
space group	P4/mmm (123)

Na2TaPt | GGA-PBE | optimized geometry

Lattice parameters (Å, degrees): 8.487 8.487 6.526 49.44 49.44 90.00
Site moments in Bohr magnetons follow the coordinates.
Fractional positions:
Na: 0.670 0.125 0.250  0.01
Na: 0.080 0.625 0.250  0.01
Na: 0.375 0.330 0.750  0.01
Na: 0.875 0.920 0.750  0.01
Pt: 0.000 0.000 0.000  0.05
Pt: 0.750 0.250 0.500  0.05
Ta: 0.500 0.500 0.000  1.06
Ta: 0.250 0.750 0.500  1.06

Results
formation energy	830.7	meV per atom
polymorph energy (0 for the lowest one)	0	meV per atom
energy	-4.30	eV/atom
space group	I-42d (122)

Na2TaPt | GGA-PBE | optimized geometry

Lattice parameters (Å, degrees): 4.720 4.720 4.720 60.00 60.00 60.00
Fractional positions:
Na: 0.250 0.250 0.250
Na: 0.750 0.750 0.750
Pt: 0.500 0.500 0.500
Ta: 0.000 0.000 0.000

Results
formation energy	1105.1	meV per atom
polymorph energy (0 for the lowest one)	274	meV per atom
energy	-4.03	eV/atom
space group	Fm-3m (225)

NaTaPt3 | GGA-PBE | optimized geometry

Lattice parameters (Å, degrees): 4.941 4.941 4.941 90.00 90.00 90.00
Fractional positions:
Na: 0.500 0.500 0.500
Pt: 0.000 0.500 0.000
Pt: 0.000 0.000 0.500
Pt: 0.500 0.000 0.000
Ta: 0.000 0.000 0.000

Results
formation energy	440.3	meV per atom
polymorph energy (0 for the lowest one)	0	meV per atom
energy	-5.82	eV/atom
space group	Pm-3m (221)

NaTa2Pt2 | GGA-PBE | optimized geometry

Lattice parameters (Å, degrees): 8.186 8.186 2.774 90.00 90.00 90.00
Fractional positions:
Na: 0.000 0.000 0.000
Na: 0.500 0.500 0.000
Pt: 0.330 0.830 0.000
Pt: 0.830 0.670 0.000
Pt: 0.670 0.170 0.000
Pt: 0.170 0.330 0.000
Ta: 0.123 0.623 0.500
Ta: 0.623 0.877 0.500
Ta: 0.877 0.377 0.500
Ta: 0.377 0.123 0.500

Results
formation energy	-341.8	meV per atom
polymorph energy (0 for the lowest one)	0	meV per atom
energy	-7.76	eV/atom
space group	P4/mbm (127)